SiBiPd2Rh | SCAN | PBEsol geometry

a = 4.928 Å, b = 4.928 Å, c = 4.920 Å
α = 90.00°, β = 90.00°, γ = 90.00°
Space group P4/mmm (No. 123)
Inequivalent atoms, fractional coordinates:
1 Si 0.000 0.000 0.000 [1 per cell]
2 Bi 0.500 0.500 0.500 [1 per cell]
3 Pd 0.000 0.500 0.500 [2 per cell]
4 Rh 0.500 0.500 0.000 [1 per cell]

Computed properties:
Calculated volume, Å³ per cell: 119
DFT total energy, eV/atom: -36.38

***

MgAg2Te | SCAN | PBEsol geometry

a = 4.106 Å, b = 4.106 Å, c = 9.583 Å
α = 90.00°, β = 90.00°, γ = 90.00°
Space group I4/mmm (No. 139)
Inequivalent atoms, fractional coordinates:
1 Mg 0.000 0.000 0.000 [2 per cell]
2 Ag 0.000 0.500 0.250 [4 per cell]
3 Te 0.000 0.000 0.500 [2 per cell]

Computed properties:
Calculated volume, Å³ per cell: 162
DFT total energy, eV/atom: -26.33

***

Fermi-level density of states, record by record: 1.152, 0.292 states/eV/atom
Formation energy without anion corrections, record by record: 1.203, -0.093 eV/atom